Entry 1:
A relaxed structure of PrDyB6. Source: OQMD, functional PBE-GGA.

Unit cell a=5.041 b=5.041 c=5.047 alpha=111.73 beta=111.73 gamma=68.27
Fractional coordinates of all 8 atoms:
Dy 0.000 0.000 0.000
Pr 0.500 0.500 0.500
B 0.891 0.590 0.110
B 0.110 0.110 0.590
B 0.590 0.891 0.110
B 0.890 0.890 0.410
B 0.109 0.410 0.890
B 0.410 0.109 0.890

Results
Raw total energy, eV per formula unit: -50.988

Entry 2:
A relaxed structure of ZrFe12Si2B. Source: OQMD, functional PBE-GGA.

Unit cell a=9.918 b=9.918 c=9.918 alpha=109.47 beta=109.47 gamma=109.47
Last column: magnetic moment on the atom in μB.
Fractional coordinates of all 64 atoms:
Fe 0.000 0.509 0.767  2.17
Zr 0.500 0.500 0.000  -0.53
Fe 0.491 0.258 0.491  2.15
Fe 0.000 0.770 0.770  1.87
Fe 0.742 0.233 0.233  2.15
Fe 0.250 0.500 0.750  2.43
Fe 0.509 0.767 0.000  2.16
Fe 0.230 0.000 0.230  1.85
Fe 0.000 0.766 0.256  2.25
B 0.739 0.739 0.739  -0.09
Si 0.721 0.000 0.000  -0.09
Fe 0.504 0.245 0.000  2.07
Si 0.000 0.473 0.000  -0.05
Fe 0.770 0.000 0.770  1.85
Zr 0.500 0.000 0.500  -0.53
Fe 0.767 0.509 0.000  2.15
Fe 0.500 0.250 0.750  2.43
Fe 0.766 0.256 0.000  2.21
Fe 0.767 0.000 0.509  2.14
Si 0.000 0.721 0.000  -0.09
Fe 0.750 0.500 0.250  2.43
Fe 0.000 0.230 0.230  1.86
Fe 0.230 0.230 0.000  1.85
Fe 0.509 0.000 0.767  2.17
Fe 0.744 0.744 0.510  2.20
Zr 0.000 0.500 0.500  -0.53
Fe 0.258 0.491 0.491  2.14
Fe 0.256 0.766 0.000  2.19
Fe 0.245 0.504 0.000  2.06
Fe 0.000 0.245 0.504  2.07
Fe 0.245 0.000 0.504  2.05
Fe 0.766 0.000 0.256  2.22
Fe 0.250 0.750 0.500  2.43
Fe 0.233 0.233 0.742  2.15
Zr 0.000 0.000 0.000  -0.28
Fe 0.496 0.496 0.741  2.08
Fe 0.496 0.741 0.496  2.06
B 0.261 0.000 0.000  -0.09
Fe 0.500 0.750 0.250  2.43
Fe 0.755 0.755 0.259  2.05
Si 0.000 0.000 0.721  -0.09
Si 0.527 0.527 0.527  -0.06
Fe 0.744 0.510 0.744  2.19
Fe 0.741 0.496 0.496  2.05
Fe 0.750 0.250 0.500  2.43
Fe 0.259 0.755 0.755  2.06
Fe 0.256 0.000 0.766  2.21
Fe 0.490 0.234 0.234  2.17
B 0.000 0.261 0.000  -0.08
Fe 0.491 0.491 0.258  2.17
Fe 0.000 0.256 0.766  2.24
Fe 0.510 0.744 0.744  2.17
B 0.000 0.000 0.261  -0.08
Fe 0.000 0.504 0.245  2.09
Fe 0.234 0.234 0.490  2.22
Si 0.473 0.000 0.000  -0.06
Si 0.279 0.279 0.279  -0.09
Fe 0.234 0.490 0.234  2.20
Fe 0.755 0.259 0.755  2.06
Si 0.000 0.000 0.473  -0.05
Fe 0.504 0.000 0.245  2.08
Fe 0.233 0.742 0.233  2.15
Fe 0.000 0.767 0.509  2.15
Fe 0.770 0.770 0.000  1.85

Results
Raw total energy, eV per formula unit: -126.214

Entry 3:
A relaxed structure of MgGaFeNi. Source: OQMD, functional PBE-GGA.

Unit cell a=4.160 b=4.160 c=4.160 alpha=60.00 beta=60.00 gamma=60.00
Last column: magnetic moment on the atom in μB.
Fractional coordinates of all 4 atoms:
Mg 0.500 0.500 0.500  -0.01
Fe 0.750 0.750 0.750  0.68
Ga 0.000 0.000 0.000  -0.04
Ni 0.250 0.250 0.250  -0.07

Results
Offset from the most stable computed form, meV/atom: 0
Raw total energy, eV per formula unit: -18.776

Entry 4:
A relaxed structure of Nb2TlNi. Source: OQMD, functional PBE-GGA.

Unit cell a=4.647 b=4.647 c=4.647 alpha=60.00 beta=60.00 gamma=60.00
Fractional coordinates of all 4 atoms:
Nb 0.750 0.750 0.750
Nb 0.000 0.000 0.000
Ni 0.250 0.250 0.250
Tl 0.500 0.500 0.500

Results
Raw total energy, eV per formula unit: -26.210

Entry 5:
A relaxed structure of HgBiAsO. Source: OQMD, functional PBE-GGA.

Unit cell a=4.746 b=4.746 c=8.895 alpha=90.00 beta=90.00 gamma=90.00
Fractional coordinates of all 8 atoms:
Bi 0.500 0.500 0.500
As 0.500 0.000 0.693
Hg 0.000 0.500 0.970
O 0.500 0.500 0.000
O 0.000 0.000 0.000
Bi 0.000 0.000 0.500
As 0.000 0.500 0.307
Hg 0.500 0.000 0.030

Results
Offset from the most stable computed form, meV/atom: 509
Raw total energy, eV per formula unit: -13.147

Entry 6:
A relaxed structure of Na4Al2ZnGa. Source: OQMD, functional PBE-GGA.

Unit cell a=4.878 b=4.878 c=6.947 alpha=90.00 beta=90.00 gamma=90.00
Fractional coordinates of all 8 atoms:
Na 0.000 0.000 0.000
Na 0.500 0.000 0.253
Al 0.000 0.500 0.251
Na 0.000 0.500 0.747
Zn 0.000 0.000 0.500
Al 0.500 0.000 0.749
Na 0.500 0.500 0.500
Ga 0.500 0.500 0.000

Results
Raw total energy, eV per formula unit: -16.476

Entry 7:
A relaxed structure of InCuSiSe2S. Source: OQMD, functional PBE-GGA.

Unit cell a=6.845 b=6.845 c=10.125 alpha=90.00 beta=90.00 gamma=149.61
Fractional coordinates of all 12 atoms:
S 0.487 0.513 0.750
Si 0.500 0.500 0.000
S 0.513 0.487 0.250
Se 0.133 0.867 0.986
In 0.221 0.779 0.250
Se 0.867 0.133 0.014
Se 0.867 0.133 0.486
In 0.779 0.221 0.750
Cu 0.892 0.108 0.250
Si 0.500 0.500 0.500
Cu 0.108 0.892 0.750
Se 0.133 0.867 0.514

Results
Raw total energy, eV per formula unit: -24.138

Entry 8:
A relaxed structure of HoEr2Al3Cu3. Source: OQMD, functional PBE-GGA.

Unit cell a=3.963 b=6.997 c=6.997 alpha=120.00 beta=90.00 gamma=90.00
Fractional coordinates of all 9 atoms:
Ho 0.000 0.415 0.415
Er 0.000 0.585 0.000
Cu 0.500 0.333 0.667
Er 0.000 0.000 0.585
Cu 0.000 0.999 0.999
Al 0.500 0.237 0.000
Al 0.500 0.000 0.237
Al 0.500 0.763 0.763
Cu 0.500 0.667 0.333

Results
Raw total energy, eV per formula unit: -40.256

> Number 6 is which compound?

Na4Al2ZnGa

> What is the formula in the sixth record?

Na4Al2ZnGa

> Which value of raw total energy does entry 6 give?

-16.476 eV per formula unit

> Among the records above, which one has the lowest raw total energy?

ZrFe12Si2B